# KSr3Pd PBE-GGA relaxed
# Total magnetic moment = 0.00 Bohr magnetons per cell
# Offset from the most stable computed form = 0.887 eV/f.u.
data_KSr3Pd
_symmetry_space_group_name_H-M 'P 1'
_symmetry_Int_Tables_number 1
_cell_length_a 8.003
_cell_length_b 10.123
_cell_length_c 11.964
_cell_angle_alpha 90.00
_cell_angle_beta 90.00
_cell_angle_gamma 90.00
loop_
_symmetry_equiv_pos_as_xyz
'x,y,z'
loop_
_atom_site_label
_atom_site_fract_x
_atom_site_fract_y
_atom_site_fract_z
K1 0.000 0.000 0.000
K2 0.000 0.500 0.000
K3 0.500 0.000 0.500
K4 0.500 0.500 0.500
Sr1 0.040 0.064 0.358
Sr2 0.040 0.436 0.358
Sr3 0.232 0.250 0.716
Sr4 0.268 0.750 0.216
Sr5 0.460 0.564 0.858
Sr6 0.460 0.936 0.858
Sr7 0.540 0.064 0.142
Sr8 0.540 0.436 0.142
Sr9 0.732 0.250 0.784
Sr10 0.768 0.750 0.284
Sr11 0.960 0.564 0.642
Sr12 0.960 0.936 0.642
Pd1 0.065 0.750 0.440
Pd2 0.435 0.250 0.940
Pd3 0.565 0.750 0.060
Pd4 0.935 0.250 0.560


# KSr3Pd PBE-GGA relaxed
# Total magnetic moment = 0.00 Bohr magnetons per cell
# Offset from the most stable computed form = 0.100 eV/f.u.
data_KSr3Pd
_symmetry_space_group_name_H-M 'P 1'
_symmetry_Int_Tables_number 1
_cell_length_a 7.715
_cell_length_b 7.715
_cell_length_c 12.717
_cell_angle_alpha 115.18
_cell_angle_beta 115.18
_cell_angle_gamma 46.76
loop_
_symmetry_equiv_pos_as_xyz
'x,y,z'
loop_
_atom_site_label
_atom_site_fract_x
_atom_site_fract_y
_atom_site_fract_z
K1 0.127 0.127 0.436
K2 0.873 0.873 0.564
Sr1 0.135 0.135 0.942
Sr2 0.378 0.378 0.302
Sr3 0.381 0.381 0.830
Sr4 0.619 0.619 0.170
Sr5 0.622 0.622 0.698
Sr6 0.865 0.865 0.058
Pd1 0.381 0.381 0.070
Pd2 0.619 0.619 0.930


# KSr3Pd PBE-GGA relaxed
# Total magnetic moment = 0.00 Bohr magnetons per cell
# Offset from the most stable computed form = 1.392 eV/f.u.
data_KSr3Pd
_symmetry_space_group_name_H-M 'P 1'
_symmetry_Int_Tables_number 1
_cell_length_a 9.893
_cell_length_b 9.893
_cell_length_c 9.893
_cell_angle_alpha 130.75
_cell_angle_beta 130.75
_cell_angle_gamma 72.22
loop_
_symmetry_equiv_pos_as_xyz
'x,y,z'
loop_
_atom_site_label
_atom_site_fract_x
_atom_site_fract_y
_atom_site_fract_z
K1 0.136 0.136 0.000
K2 0.864 0.864 0.000
Sr1 0.110 0.610 0.500
Sr2 0.125 0.374 0.751
Sr3 0.390 0.890 0.500
Sr4 0.622 0.374 0.249
Sr5 0.626 0.378 0.751
Sr6 0.626 0.875 0.249
Pd1 0.500 0.500 0.000
Pd2 0.750 0.250 0.500


# KSrPd PBE-GGA relaxed
# Total magnetic moment = 0.00 Bohr magnetons per cell
data_KSrPd
_symmetry_space_group_name_H-M 'P 1'
_symmetry_Int_Tables_number 1
_cell_length_a 4.245
_cell_length_b 4.245
_cell_length_c 31.951
_cell_angle_alpha 90.00
_cell_angle_beta 90.00
_cell_angle_gamma 120.00
loop_
_symmetry_equiv_pos_as_xyz
'x,y,z'
loop_
_atom_site_label
_atom_site_fract_x
_atom_site_fract_y
_atom_site_fract_z
K1 0.333 0.667 0.302
K2 0.333 0.667 0.431
K3 0.667 0.333 0.569
K4 0.667 0.333 0.698
Sr1 0.333 0.667 0.825
Sr2 0.333 0.667 0.942
Sr3 0.667 0.333 0.058
Sr4 0.667 0.333 0.175
Pd1 0.333 0.667 0.117
Pd2 0.333 0.667 0.632
Pd3 0.667 0.333 0.368
Pd4 0.667 0.333 0.883


# KSr3Pd PBE-GGA relaxed
# Total magnetic moment = 0.00 Bohr magnetons per cell
# Offset from the most stable computed form = 1.102 eV/f.u.
data_KSr3Pd
_symmetry_space_group_name_H-M 'P 1'
_symmetry_Int_Tables_number 1
_cell_length_a 5.001
_cell_length_b 5.001
_cell_length_c 26.289
_cell_angle_alpha 90.00
_cell_angle_beta 90.00
_cell_angle_gamma 120.00
loop_
_symmetry_equiv_pos_as_xyz
'x,y,z'
loop_
_atom_site_label
_atom_site_fract_x
_atom_site_fract_y
_atom_site_fract_z
K1 0.000 0.000 0.000
K2 0.000 0.000 0.500
Sr1 0.000 0.000 0.250
Sr2 0.000 0.000 0.750
Sr3 0.333 0.667 0.135
Sr4 0.333 0.667 0.365
Sr5 0.667 0.333 0.635
Sr6 0.667 0.333 0.865
Pd1 0.333 0.667 0.250
Pd2 0.667 0.333 0.750


# KSr3Pd PBE-GGA relaxed
# Total magnetic moment = 0.00 Bohr magnetons per cell
# Offset from the most stable computed form = 1.353 eV/f.u.
data_KSr3Pd
_symmetry_space_group_name_H-M 'P 1'
_symmetry_Int_Tables_number 1
_cell_length_a 5.010
_cell_length_b 5.010
_cell_length_c 11.289
_cell_angle_alpha 90.00
_cell_angle_beta 90.00
_cell_angle_gamma 90.00
loop_
_symmetry_equiv_pos_as_xyz
'x,y,z'
loop_
_atom_site_label
_atom_site_fract_x
_atom_site_fract_y
_atom_site_fract_z
K1 0.000 0.000 0.000
Sr1 0.000 0.000 0.607
Sr2 0.000 0.500 0.336
Sr3 0.500 0.000 0.336
Pd1 0.500 0.500 0.498


| no. | ΔE_f (kJ per mole of atoms) | volume (Å³/f.u.) |
| --- | --- | --- |
| 1 | -8 | 242 |
| 2 | -23 | 244 |
| 3 | 2 | 272 |
| 4 | -2 | 125 |
| 5 | -4 | 285 |
| 6 | 1 | 283 |